[1]
## NiPtBr2 (PBE-GGA)

Data for NiPtBr2 after structural relaxation.

```
NiPtBr2
1.0
4.676 0.000 0.000
0.000 4.676 0.000
0.000 0.000 3.355
Ni Pt Br
1 1 2
Direct
0.000 0.000 0.000
0.500 0.500 0.000
0.000 0.500 0.500
0.500 0.000 0.500
```

The relative energy among the computed polymorphs comes out at 74.7 kJ per mole of atoms. The calculation puts the density at 9.362 g/cm³. The value obtained for the total energy is -3.077 eV/atom. The calculation puts the formation energy from raw total energies at 0.715 eV/atom. The value obtained for the total magnetic moment is 1.00 Bohr magnetons per cell.


[2]
## RbSi (PBE-GGA)

Data for RbSi after structural relaxation.

```
RbSi
1.0
5.609 0.000 0.000
0.000 3.935 0.000
-2.803 0.000 6.478
Rb Si
2 2
Direct
0.148 0.250 0.297
0.852 0.750 0.703
0.449 0.250 0.899
0.551 0.750 0.101
```

The relative energy among the computed polymorphs comes out at 13.0 kJ per mole of atoms. The calculation puts the density at 2.638 g/cm³. The value obtained for the total energy is -3.110 eV/atom. The calculation puts the formation energy from raw total energies at 0.086 eV/atom. The value obtained for the total magnetic moment is 0.00 Bohr magnetons per cell.